V2InRh2: relaxed, GGA-PBE.

abc: 7.4171 7.4171 2.8209
angles: 90.00 90.00 90.00
Positions (direct):
V1 0.1619 0.3381 0.0000
V2 0.3381 0.8381 0.0000
V3 0.6619 0.1619 0.0000
V4 0.8381 0.6619 0.0000
In1 0.0000 0.0000 0.5000
In2 0.5000 0.5000 0.5000
Rh1 0.1306 0.6306 0.5000
Rh2 0.3694 0.1306 0.5000
Rh3 0.6306 0.8694 0.5000
Rh4 0.8694 0.3694 0.5000

Calculated values
Excess energy over the best structure of this formula in the dataset: 0 meV per atom
E: -73.7 eV for the cell shown
Crystal system: tetragonal
Energy relative to the elements: -237 meV per atom